No. 1
First-principles (PBE) data for IrPdSeBr2 after structural relaxation, as listed in the Alexandria database.

```
data_IrPdSeBr2
_space_group_name_H-M_alt 'P 4/m m m'
_space_group_IT_number 123
_space_group_name_Hall '-P 4 2'
_cell_length_a 5.280
_cell_length_b 5.280
_cell_length_c 4.628
_cell_angle_alpha 90.00
_cell_angle_beta 90.00
_cell_angle_gamma 90.00
loop_
_atom_site_label
_atom_site_fract_x
_atom_site_fract_y
_atom_site_fract_z
Ir1 0.000 0.000 0.000
Pd1 0.500 0.500 0.500
Se1 0.000 0.000 0.500
Br1 0.000 0.500 0.000
```

- ΔE to the lowest computed polymorph: 0 meV/atom

---

No. 2
First-principles (PBE) data for IrPdSeBr2 after structural relaxation, as listed in the Alexandria database.

```
data_IrPdSeBr2
_space_group_name_H-M_alt 'P 4/m m m'
_space_group_IT_number 123
_space_group_name_Hall '-P 4 2'
_cell_length_a 4.989
_cell_length_b 4.989
_cell_length_c 5.010
_cell_angle_alpha 90.00
_cell_angle_beta 90.00
_cell_angle_gamma 90.00
loop_
_atom_site_label
_atom_site_fract_x
_atom_site_fract_y
_atom_site_fract_z
Ir1 0.000 0.000 0.000
Pd1 0.500 0.500 0.500
Se1 0.500 0.500 0.000
Br1 0.000 0.500 0.500
```

- ΔE to the lowest computed polymorph: 505 meV/atom